# 1
A plane-wave DFT calculation with PBE was carried out for a relaxed La6P2RuBr3 crystal.

Calculated values
The symmetry is No. 12. As for the total energy: -70.96 eV/f.u. The total magnetization comes out at 0.00 μB per atom. Its crystal system is monoclinic. The formation energy from raw total energies comes out at -130.9 kJ per mole of atoms.

a = 9.8271 Å, b = 9.8271 Å, c = 9.1685 Å
α = 106.25°, β = 106.25°, γ = 24.56°
Fractional coordinates of all 12 atoms:
1 La 0.0076 0.0076 0.2219
2 La 0.3233 0.3233 0.4391
3 La 0.3498 0.3498 0.8933
4 La 0.6502 0.6502 0.1067
5 La 0.6767 0.6767 0.5609
6 La 0.9924 0.9924 0.7781
7 P 0.1654 0.1654 0.3369
8 P 0.8346 0.8346 0.6631
9 Ru 0.5000 0.5000 0.0000
10 Br 0.1708 0.1708 0.8325
11 Br 0.5000 0.5000 0.5000
12 Br 0.8292 0.8292 0.1675

# 2
A plane-wave DFT calculation with PBE was carried out for a relaxed La6PS2Br3 crystal.

Calculated values
The symmetry is No. 12. As for the total energy: -68.71 eV/f.u. The total magnetization comes out at 0.00 μB per atom. Its crystal system is monoclinic. The formation energy from raw total energies comes out at -164.5 kJ per mole of atoms.

a = 7.2214 Å, b = 7.2214 Å, c = 7.8006 Å
α = 98.88°, β = 98.88°, γ = 120.04°
Fractional coordinates of all 12 atoms:
1 La 0.0961 0.4300 0.7904
2 La 0.2351 0.2351 0.2086
3 La 0.4300 0.0961 0.7904
4 La 0.5700 0.9039 0.2096
5 La 0.7649 0.7649 0.7914
6 La 0.9039 0.5700 0.2096
7 P 0.5000 0.5000 0.0000
8 S 0.1671 0.8329 0.0000
9 S 0.8329 0.1671 0.0000
10 Br 0.0000 0.0000 0.5000
11 Br 0.3356 0.6644 0.5000
12 Br 0.6644 0.3356 0.5000

# 3
A plane-wave DFT calculation with PBE was carried out for a relaxed La4PS2Br crystal.

Calculated values
The symmetry is No. 10. As for the total energy: -49.88 eV/f.u. The total magnetization comes out at 0.00 μB per atom. Its crystal system is monoclinic. The formation energy from raw total energies comes out at -178.9 kJ per mole of atoms.

a = 7.3088 Å, b = 4.2170 Å, c = 7.3797 Å
α = 90.00°, β = 109.24°, γ = 90.00°
Fractional coordinates of all 8 atoms:
1 La 0.2285 0.0000 0.2234
2 La 0.2431 0.5000 0.7663
3 La 0.7569 0.5000 0.2337
4 La 0.7715 0.0000 0.7766
5 P 0.5000 0.0000 0.0000
6 S 0.0000 0.0000 0.5000
7 S 0.0000 0.5000 0.0000
8 Br 0.5000 0.5000 0.5000

# 4
A plane-wave DFT calculation with PBE was carried out for a relaxed La4P2SBr crystal.

Calculated values
The symmetry is No. 10. As for the total energy: -50.36 eV/f.u. The total magnetization comes out at 0.00 μB per atom. Its crystal system is monoclinic. The formation energy from raw total energies comes out at -169.3 kJ per mole of atoms.

a = 7.3835 Å, b = 4.2318 Å, c = 7.4487 Å
α = 90.00°, β = 108.97°, γ = 90.00°
Fractional coordinates of all 8 atoms:
1 La 0.2289 0.0000 0.2239
2 La 0.2437 0.5000 0.7669
3 La 0.7563 0.5000 0.2331
4 La 0.7711 0.0000 0.7761
5 P 0.0000 0.5000 0.0000
6 P 0.5000 0.0000 0.0000
7 S 0.0000 0.0000 0.5000
8 Br 0.5000 0.5000 0.5000

# 5
A plane-wave DFT calculation with PBE was carried out for a relaxed La4PSBr2 crystal.

Calculated values
The symmetry is No. 10. As for the total energy: -46.04 eV/f.u. The total magnetization comes out at 0.00 μB per atom. Its crystal system is monoclinic. The formation energy from raw total energies comes out at -162.2 kJ per mole of atoms.

a = 7.2832 Å, b = 4.2311 Å, c = 7.7159 Å
α = 90.00°, β = 108.56°, γ = 90.00°
Fractional coordinates of all 8 atoms:
1 La 0.2349 0.0000 0.2077
2 La 0.2624 0.5000 0.7910
3 La 0.7376 0.5000 0.2090
4 La 0.7651 0.0000 0.7923
5 P 0.5000 0.0000 0.0000
6 S 0.0000 0.5000 0.0000
7 Br 0.0000 0.0000 0.5000
8 Br 0.5000 0.5000 0.5000

# 6
A plane-wave DFT calculation with PBE was carried out for a relaxed La6P3S2Br crystal.

Calculated values
The symmetry is No. 12. As for the total energy: -77.47 eV/f.u. The total magnetization comes out at 0.00 μB per atom. Its crystal system is monoclinic. The formation energy from raw total energies comes out at -174.8 kJ per mole of atoms.

a = 9.5079 Å, b = 9.5079 Å, c = 8.5412 Å
α = 103.16°, β = 103.16°, γ = 25.72°
Fractional coordinates of all 12 atoms:
1 La 0.0008 0.0008 0.2280
2 La 0.3248 0.3248 0.4160
3 La 0.3341 0.3341 0.9132
4 La 0.6659 0.6659 0.0868
5 La 0.6752 0.6752 0.5840
6 La 0.9992 0.9992 0.7720
7 P 0.1642 0.1642 0.3334
8 P 0.5000 0.5000 0.0000
9 P 0.8358 0.8358 0.6666
10 S 0.1665 0.1665 0.8321
11 S 0.8335 0.8335 0.1679
12 Br 0.5000 0.5000 0.5000

# 7
A plane-wave DFT calculation with PBE was carried out for a relaxed La6SbP2Br3 crystal.

Calculated values
The symmetry is No. 12. As for the total energy: -67.50 eV/f.u. The total magnetization comes out at 0.00 μB per atom. Its crystal system is monoclinic. The formation energy from raw total energies comes out at -144.5 kJ per mole of atoms.

a = 9.8895 Å, b = 9.8895 Å, c = 8.9185 Å
α = 103.75°, β = 103.75°, γ = 25.40°
Fractional coordinates of all 12 atoms:
1 La 0.0163 0.0163 0.2569
2 La 0.3247 0.3247 0.4393
3 La 0.3318 0.3318 0.8792
4 La 0.6682 0.6682 0.1208
5 La 0.6753 0.6753 0.5607
6 La 0.9837 0.9837 0.7431
7 Sb 0.5000 0.5000 0.0000
8 P 0.1705 0.1705 0.3386
9 P 0.8295 0.8295 0.6614
10 Br 0.1626 0.1626 0.8330
11 Br 0.5000 0.5000 0.5000
12 Br 0.8374 0.8374 0.1670

# 8
A plane-wave DFT calculation with PBE was carried out for a relaxed La3SbPBr crystal.

Calculated values
The symmetry is No. 11. As for the total energy: -34.32 eV/f.u. The total magnetization comes out at 0.00 μB per atom. Its crystal system is monoclinic. The formation energy from raw total energies comes out at -133.9 kJ per mole of atoms.

a = 7.5731 Å, b = 4.3104 Å, c = 11.7066 Å
α = 90.00°, β = 102.24°, γ = 90.00°
Fractional coordinates of all 12 atoms:
1 La 0.0441 0.2500 0.1415
2 La 0.2819 0.2500 0.4948
3 La 0.4545 0.7500 0.8508
4 La 0.5455 0.2500 0.1492
5 La 0.7181 0.7500 0.5052
6 La 0.9559 0.7500 0.8585
7 Sb 0.3471 0.7500 0.3021
8 Sb 0.6529 0.2500 0.6979
9 P 0.2339 0.2500 0.9412
10 P 0.7661 0.7500 0.0588
11 Br 0.1245 0.7500 0.6370
12 Br 0.8755 0.2500 0.3630

# 9
A plane-wave DFT calculation with PBE was carried out for a relaxed La4PSe2Br crystal.

Calculated values
The symmetry is No. 10. As for the total energy: -47.94 eV/f.u. The total magnetization comes out at 0.00 μB per atom. Its crystal system is monoclinic. The formation energy from raw total energies comes out at -171.0 kJ per mole of atoms.

a = 7.4387 Å, b = 4.2931 Å, c = 7.5282 Å
α = 90.00°, β = 109.18°, γ = 90.00°
Fractional coordinates of all 8 atoms:
1 La 0.2406 0.0000 0.2285
2 La 0.2545 0.5000 0.7723
3 La 0.7455 0.5000 0.2277
4 La 0.7594 0.0000 0.7715
5 P 0.0000 0.5000 0.0000
6 Se 0.5000 0.0000 0.0000
7 Se 0.5000 0.5000 0.5000
8 Br 0.0000 0.0000 0.5000

# 10
A plane-wave DFT calculation with PBE was carried out for a relaxed La4P2SeBr crystal.

Calculated values
The symmetry is No. 10. As for the total energy: -49.58 eV/f.u. The total magnetization comes out at 0.00 μB per atom. Its crystal system is monoclinic. The formation energy from raw total energies comes out at -167.6 kJ per mole of atoms.

a = 7.3878 Å, b = 4.2561 Å, c = 7.6204 Å
α = 90.00°, β = 108.73°, γ = 90.00°
Fractional coordinates of all 8 atoms:
1 La 0.2312 0.0000 0.2174
2 La 0.2511 0.5000 0.7764
3 La 0.7489 0.5000 0.2236
4 La 0.7688 0.0000 0.7826
5 P 0.0000 0.5000 0.0000
6 P 0.5000 0.0000 0.0000
7 Se 0.0000 0.0000 0.5000
8 Br 0.5000 0.5000 0.5000

# 11
A plane-wave DFT calculation with PBE was carried out for a relaxed La8P3SeBr4 crystal.

Calculated values
The symmetry is No. 166. As for the total energy: -91.73 eV/f.u. The total magnetization comes out at 0.00 μB per atom. Its crystal system is trigonal. The formation energy from raw total energies comes out at -156.2 kJ per mole of atoms.

a = 8.8091 Å, b = 8.8091 Å, c = 8.8091 Å
α = 58.22°, β = 58.22°, γ = 58.22°
Fractional coordinates of all 16 atoms:
1 La 0.2256 0.7428 0.7428
2 La 0.2360 0.2360 0.2360
3 La 0.2572 0.2572 0.7744
4 La 0.2572 0.7744 0.2572
5 La 0.7428 0.2256 0.7428
6 La 0.7428 0.7428 0.2256
7 La 0.7640 0.7640 0.7640
8 La 0.7744 0.2572 0.2572
9 P 0.0000 0.0000 0.5000
10 P 0.0000 0.5000 0.0000
11 P 0.5000 0.0000 0.0000
12 Se 0.5000 0.5000 0.5000
13 Br 0.0000 0.0000 0.0000
14 Br 0.0000 0.5000 0.5000
15 Br 0.5000 0.0000 0.5000
16 Br 0.5000 0.5000 0.0000

# 12
A plane-wave DFT calculation with PBE was carried out for a relaxed La4PSeBr2 crystal.

Calculated values
The symmetry is No. 10. As for the total energy: -44.98 eV/f.u. The total magnetization comes out at 0.00 μB per atom. Its crystal system is monoclinic. The formation energy from raw total energies comes out at -157.1 kJ per mole of atoms.

a = 7.4813 Å, b = 4.2872 Å, c = 7.6039 Å
α = 90.00°, β = 108.85°, γ = 90.00°
Fractional coordinates of all 8 atoms:
1 La 0.2265 0.0000 0.2148
2 La 0.2468 0.5000 0.7797
3 La 0.7532 0.5000 0.2203
4 La 0.7735 0.0000 0.7852
5 P 0.0000 0.5000 0.0000
6 Se 0.5000 0.0000 0.0000
7 Br 0.0000 0.0000 0.5000
8 Br 0.5000 0.5000 0.5000

The calculation returns the following mass density values, one per record and in order: 5.82 5.79 5.65 5.50 5.73 5.46 5.75 5.77 6.03 5.68 5.74 5.94 Mg/m³.